[1]
# AcDyTe PBE optimized geometry
# - distance to the lowest polymorph of the same formula (meV per atom) = 668
data_AcDyTe
_chemical_formula_sum 'Ac4 Dy4 Te4'
_symmetry_space_group_name_H-M 'F -4 3 m'
_symmetry_Int_Tables_number 216
_symmetry_space_group_name_Hall 'F -4 2 3'
_cell_length_a 7.898
_cell_length_b 7.898
_cell_length_c 7.898
_cell_angle_alpha 90.00
_cell_angle_beta 90.00
_cell_angle_gamma 90.00
loop_
_atom_site_label
_atom_site_fract_x
_atom_site_fract_y
_atom_site_fract_z
Ac1 0.000 0.000 0.000
Dy1 0.250 0.250 0.750
Te1 0.250 0.250 0.250

[2]
# AcDyTe3 PBE optimized geometry
# - energy (eV per cell) = -102.8
data_AcDyTe3
_chemical_formula_sum 'Ac4 Dy4 Te12'
_symmetry_space_group_name_H-M 'C m c m'
_symmetry_Int_Tables_number 63
_symmetry_space_group_name_Hall '-C 2c 2'
_cell_length_a 4.461
_cell_length_b 14.367
_cell_length_c 11.056
_cell_angle_alpha 90.00
_cell_angle_beta 90.00
_cell_angle_gamma 90.00
loop_
_atom_site_label
_atom_site_fract_x
_atom_site_fract_y
_atom_site_fract_z
Ac1 0.000 0.249 0.250
Dy1 0.000 0.500 0.000
Te1 0.000 0.143 0.558
Te2 0.000 0.420 0.750

[3]
# AcDyTe PBE optimized geometry
# - distance to the lowest polymorph of the same formula (meV per atom) = 0
data_AcDyTe
_chemical_formula_sum 'Ac4 Dy4 Te4'
_symmetry_space_group_name_H-M 'F -4 3 m'
_symmetry_Int_Tables_number 216
_symmetry_space_group_name_Hall 'F -4 2 3'
_cell_length_a 7.578
_cell_length_b 7.578
_cell_length_c 7.578
_cell_angle_alpha 90.00
_cell_angle_beta 90.00
_cell_angle_gamma 90.00
loop_
_atom_site_label
_atom_site_fract_x
_atom_site_fract_y
_atom_site_fract_z
Ac1 0.000 0.000 0.000
Dy1 0.000 0.000 0.500
Te1 0.250 0.250 0.250

[4]
# AcDyW PBE optimized geometry
# - ΔH_f (0 K) (eV per atom) = 1.476
data_AcDyW
_chemical_formula_sum 'Ac4 Dy4 W4'
_symmetry_space_group_name_H-M 'F -4 3 m'
_symmetry_Int_Tables_number 216
_symmetry_space_group_name_Hall 'F -4 2 3'
_cell_length_a 7.179
_cell_length_b 7.179
_cell_length_c 7.179
_cell_angle_alpha 90.00
_cell_angle_beta 90.00
_cell_angle_gamma 90.00
loop_
_atom_site_label
_atom_site_fract_x
_atom_site_fract_y
_atom_site_fract_z
Ac1 0.000 0.000 0.000
Dy1 0.250 0.250 0.250
W1 0.000 0.000 0.500